Version A
# Pm2Sn4Hg

Crystalline Pm2Sn4Hg at its relaxed geometry (PBE, Alexandria via LeMat-Bulk).

a b c (Å): 4.547 4.547 9.570
angles (deg): 90.00 90.00 90.00
Element x y z (fractional)
Sn (0.000, 0.000, 0.500)
Sn (0.500, 0.000, 0.198)
Pm (0.500, 0.000, 0.765)
Pm (0.000, 0.500, 0.235)
Hg (0.500, 0.500, 0.000)
Sn (0.000, 0.500, 0.802)
Sn (0.500, 0.500, 0.500)

space group: No. 115
N(E_F): 3.79 states/eV/cell


Version B
# Pm2Sn4Hg

Crystalline Pm2Sn4Hg at its relaxed geometry (PBE, Alexandria via LeMat-Bulk).

a b c (Å): 6.530 6.530 6.584
angles (deg): 119.71 119.71 90.10
Element x y z (fractional)
Hg (0.786, 0.786, 0.572)
Sn (0.286, 0.286, 0.071)
Sn (0.786, 0.786, 0.072)
Pm (0.286, 0.786, 0.571)
Pm (0.786, 0.286, 0.571)
Sn (0.286, 0.786, 0.071)
Sn (0.786, 0.286, 0.071)

space group: No. 69
N(E_F): 3.78 states/eV/cell


It is version B that is the most stable of them.


Version A
# PmYSnHg

Crystalline PmYSnHg at its relaxed geometry (PBE, Alexandria via LeMat-Bulk).

a b c (Å): 5.354 5.354 5.354
angles (deg): 60.00 60.00 60.00
Element x y z (fractional)
Pm (0.250, 0.250, 0.250)
Y (0.750, 0.750, 0.750)
Hg (0.500, 0.500, 0.500)
Sn (0.000, 0.000, 0.000)

space group: No. 216
N(E_F): 3.69 states/eV/cell


Version B
# PmYSnHg

Crystalline PmYSnHg at its relaxed geometry (PBE, Alexandria via LeMat-Bulk).

a b c (Å): 3.825 3.825 7.448
angles (deg): 90.00 90.00 90.00
Element x y z (fractional)
Hg (0.000, 0.000, 0.346)
Sn (0.000, 0.000, 0.866)
Y (0.500, 0.500, 0.111)
Pm (0.500, 0.500, 0.605)

space group: No. 99
N(E_F): 2.94 states/eV/cell


It is version A that is the most stable of them.


Version A
# SrPm3Hg2

Crystalline SrPm3Hg2 at its relaxed geometry (PBE, Alexandria via LeMat-Bulk).

a b c (Å): 5.304 7.535 9.527
angles (deg): 90.00 90.00 90.00
Element x y z (fractional)
Hg (0.500, 0.750, 0.851)
Pm (0.000, 0.988, 0.062)
Pm (0.000, 0.488, 0.938)
Sr (0.500, 0.012, 0.439)
Pm (0.500, 0.161, 0.835)
Hg (0.000, 0.249, 0.654)
Pm (0.000, 0.839, 0.676)
Pm (0.500, 0.661, 0.165)
Sr (0.500, 0.512, 0.561)
Pm (0.000, 0.339, 0.324)
Hg (0.500, 0.250, 0.149)
Hg (0.000, 0.749, 0.346)

space group: No. 26
N(E_F): 11.79 states/eV/cell


Version B
# SrPm3Hg2

Crystalline SrPm3Hg2 at its relaxed geometry (PBE, Alexandria via LeMat-Bulk).

a b c (Å): 5.490 9.718 9.297
angles (deg): 123.75 90.00 106.41
Element x y z (fractional)
Pm (0.305, 0.610, 0.608)
Sr (0.132, 0.263, 0.067)
Hg (0.504, 0.009, 0.848)
Pm (0.618, 0.235, 0.714)
Pm (0.067, 0.134, 0.418)
Sr (0.868, 0.737, 0.933)
Hg (0.496, 0.991, 0.152)
Pm (0.382, 0.765, 0.286)
Hg (0.773, 0.545, 0.160)
Hg (0.227, 0.455, 0.840)
Pm (0.695, 0.390, 0.392)
Pm (0.933, 0.866, 0.582)

space group: No. 12
N(E_F): 12.40 states/eV/cell


It is version A that is the most stable of them.


Version A
# Sr2PmHg

Crystalline Sr2PmHg at its relaxed geometry (PBE, Alexandria via LeMat-Bulk).

a b c (Å): 4.022 4.022 11.458
angles (deg): 79.89 79.89 60.00
Last column: magnetic moment on the atom in μB.
Element x y z (fractional)
Sr (0.261, 0.261, 0.218)  -0.01
Sr (0.072, 0.072, 0.783)  0.00
Hg (0.666, 0.666, 0.001)  -0.01
Pm (0.501, 0.501, 0.498)  0.08

space group: No. 160
N(E_F): 4.87 states/eV/cell


Version B
# Sr2PmHg

Crystalline Sr2PmHg at its relaxed geometry (PBE, Alexandria via LeMat-Bulk).

a b c (Å): 3.879 3.879 12.496
angles (deg): 81.07 81.07 60.00
Last column: magnetic moment on the atom in μB.
Element x y z (fractional)
Sr (0.100, 0.100, 0.701)  0.01
Sr (0.900, 0.900, 0.299)  0.01
Hg (0.500, 0.500, 0.500)  0.00
Pm (0.000, 0.000, 0.000)  0.20

space group: No. 166
N(E_F): 5.80 states/eV/cell


Version C
# Sr2PmHg

Crystalline Sr2PmHg at its relaxed geometry (PBE, Alexandria via LeMat-Bulk).

a b c (Å): 3.851 3.851 10.093
angles (deg): 90.00 90.00 90.00
Element x y z (fractional)
Sr (0.000, 0.000, 0.794)
Hg (0.500, 0.500, 0.000)
Sr (0.000, 0.000, 0.206)
Pm (0.500, 0.500, 0.500)

space group: No. 123
N(E_F): 4.70 states/eV/cell


It is version C that is the most stable of them.


Version A
# TbPmHg2

Crystalline TbPmHg2 at its relaxed geometry (PBE, Alexandria via LeMat-Bulk).

a b c (Å): 3.841 3.841 9.422
angles (deg): 78.24 78.24 60.00
Element x y z (fractional)
Hg (0.085, 0.085, 0.745)
Hg (0.248, 0.248, 0.255)
Pm (0.666, 0.666, 0.001)
Tb (0.500, 0.500, 0.499)

space group: No. 160
N(E_F): 3.61 states/eV/cell


Version B
# TbPmHg2

Crystalline TbPmHg2 at its relaxed geometry (PBE, Alexandria via LeMat-Bulk).

a b c (Å): 5.341 5.341 5.341
angles (deg): 60.00 60.00 60.00
Last column: magnetic moment on the atom in μB.
Element x y z (fractional)
Pm (0.500, 0.500, 0.500)  0.18
Tb (0.000, 0.000, 0.000)  0.23
Hg (0.750, 0.750, 0.750)  0.02
Hg (0.250, 0.250, 0.250)  0.02

space group: No. 225
N(E_F): 4.45 states/eV/cell


It is version B that is the most stable of them.


Version A
# Tb3PmHg2

Crystalline Tb3PmHg2 at its relaxed geometry (PBE, Alexandria via LeMat-Bulk).

a b c (Å): 3.698 3.698 12.527
angles (deg): 90.00 90.00 90.00
Element x y z (fractional)
Hg (0.500, 0.500, 0.152)
Tb (0.000, 0.000, 0.301)
Pm (0.500, 0.500, 0.500)
Tb (0.000, 0.000, 0.699)
Tb (0.000, 0.000, 0.000)
Hg (0.500, 0.500, 0.848)

space group: No. 123
N(E_F): 6.80 states/eV/cell


Version B
# Tb3PmHg2

Crystalline Tb3PmHg2 at its relaxed geometry (PBE, Alexandria via LeMat-Bulk).

a b c (Å): 5.141 7.179 9.331
angles (deg): 90.00 90.00 90.00
Element x y z (fractional)
Hg (0.000, 0.759, 0.350)
Hg (0.000, 0.259, 0.650)
Pm (0.500, 0.515, 0.557)
Tb (0.000, 0.485, 0.943)
Hg (0.500, 0.241, 0.147)
Hg (0.500, 0.741, 0.853)
Tb (0.000, 0.985, 0.057)
Tb (0.500, 0.169, 0.828)
Tb (0.500, 0.669, 0.172)
Tb (0.000, 0.832, 0.677)
Pm (0.500, 0.015, 0.443)
Tb (0.000, 0.332, 0.323)

space group: No. 26
N(E_F): 5.73 states/eV/cell


It is version B that is the most stable of them.